The following is a PBE-GGA calculation of a geometry-optimized Er3Zn4 structure, from OQMD.

As for the crystal system: hexagonal. As for the energy above the most stable polymorph in this dataset: 0 meV per atom. The formation enthalpy at 0 K is -0.197 eV per atom. As for the energy: -2.876 eV/atom.

It has space group P6_3/m (No. 176), with a = 8.5864 Å, b = 8.5864 Å, c = 4.6145 Å, α = 90.00°, β = 90.00° and γ = 120.00°. Symmetry generates all atoms from Er at (0.0988, 0.4426, 0.2500), Zn at (0.0375, 0.2107, 0.7500) and Zn at (0.3333, 0.6667, 0.7500).